In4GaHg PBE relaxed; energy above the most stable polymorph in this dataset = 126.5 meV/atom; crystal system = cubic; energy relative to the elements = 92 kJ/mol of formula units
1.0
6.199 0.000 0.000
3.100 5.369 0.000
3.100 1.790 5.062
Hg In Ga
1 4 1
direct
0.250 0.250 0.250
0.625 0.125 0.625
0.625 0.625 0.625
0.625 0.625 0.125
0.125 0.625 0.625
0.000 0.000 0.000

***

BaSrSbI2 PBE relaxed; energy above the most stable polymorph in this dataset = 248.9 meV/atom; ΔE_f (raw) = -0.690 eV/atom; crystal system = tetragonal
1.0
6.428 0.000 0.000
0.000 6.613 0.000
0.000 0.000 6.428
I Sb Sr Ba
2 1 1 1
direct
0.000 0.000 0.500
0.500 0.000 0.000
0.000 0.500 0.000
0.500 0.500 0.500
0.000 0.000 0.000

***

ZnPbAu3 PBE relaxed; energy above the most stable polymorph in this dataset = 49.3 meV/atom; crystal system = hexagonal; energy relative to the elements = -29 kJ/mol of formula units
1.0
5.415 0.000 0.000
0.000 6.723 -0.001
0.000 -3.363 5.821
Au Pb Zn
6 2 2
direct
0.250 0.807 0.192
0.750 0.193 0.808
0.250 0.385 0.192
0.750 0.192 0.385
0.750 0.615 0.808
0.250 0.808 0.615
0.250 0.333 0.667
0.750 0.667 0.333
0.500 0.000 0.000
0.000 0.000 0.000

***

Pm3ZnAu4 PBE relaxed; crystal system = orthorhombic; energy relative to the elements = -482 kJ/mol of formula units
1.0
4.118 0.000 0.000
0.000 7.069 0.000
-2.059 -3.535 7.059
Pm Zn Au
3 1 4
direct
0.188 0.188 0.376
0.812 0.812 0.624
0.000 0.500 0.000
0.500 0.000 0.000
0.376 0.583 0.753
0.376 0.169 0.753
0.624 0.831 0.247
0.624 0.417 0.247